Below is an optimized crystal structure of CaAcHgPd, with properties calculated at the PBE level.

formation energy	-579	meV per atom
space group	F-43m (216)
offset from the most stable computed form	63	meV per atom
density	8.60	g/cm3
DFT total energy	-3.480	eV per atom
Fermi-level density of states	2.81	states/eV per cell

```
CaAcHgPd
1.0
0.000 3.813 3.813
3.813 0.000 3.813
3.813 3.813 0.000
Ca Ac Hg Pd
1 1 1 1
direct
0.000 0.000 0.000 Ca
0.500 0.500 0.500 Ac
0.750 0.750 0.750 Hg
0.250 0.250 0.250 Pd
```